(1)
The following is a PBE-GGA calculation of a relaxed MgMoOs3 crystal, from Alexandria.

The structure in CIF format:
```
data_MgMoOs3
_symmetry_space_group_name_H-M 'P m -3 m'
_symmetry_Int_Tables_number 221
_symmetry_space_group_name_Hall '-P 4 2 3'
_cell_length_a 4.3693
_cell_length_b 4.3693
_cell_length_c 4.3693
_cell_angle_alpha 90.00
_cell_angle_beta 90.00
_cell_angle_gamma 90.00
loop_
_atom_site_label
_atom_site_type_symbol
_atom_site_fract_x
_atom_site_fract_y
_atom_site_fract_z
Mg1 Mg 0.0000 0.0000 0.0000
Mo1 Mo 0.5000 0.5000 0.5000
Os1 Os 0.0000 0.0000 0.5000
```

---

(2)
The following is a PBE-GGA calculation of a relaxed MgMoOs3 crystal, from Alexandria.

The structure in CIF format:
```
data_MgMoOs3
_symmetry_space_group_name_H-M 'P m -3 m'
_symmetry_Int_Tables_number 221
_symmetry_space_group_name_Hall '-P 4 2 3'
_cell_length_a 4.7059
_cell_length_b 4.7059
_cell_length_c 4.7059
_cell_angle_alpha 90.00
_cell_angle_beta 90.00
_cell_angle_gamma 90.00
loop_
_atom_site_label
_atom_site_type_symbol
_atom_site_fract_x
_atom_site_fract_y
_atom_site_fract_z
Mg1 Mg 0.0000 0.0000 0.0000
Mo1 Mo 0.5000 0.5000 0.5000
Os1 Os 0.0000 0.5000 0.5000
```

---

Sorted by energy, starting with the most stable: (2), (1).